[1]
{
  "formula": "SrCuOs",
  "functional": "PBE",
  "state": "optimized geometry",
  "cell": [[-4.628, -1.247, -0.664], [2.306, -1.322, 4.044], [-0.830, 2.410, 1.261]],
  "species": ["Cu", "Os", "Sr"],
  "fractional_positions": [[0.000, 0.000, 0.166], [0.667, 0.333, 0.167], [0.333, 0.667, 0.667]],
  "magmom_total_mub_per_fu": 0.0,
  "e_form_ev_per_atom": 0.801,
  "rho_g_cm3": 9.83,
  "spacegroup": "P3m1 (156)",
  "dos_ef_per_ev_atom": 0.905
}


[2]
{
  "formula": "SrCu2Os",
  "functional": "PBE",
  "state": "optimized geometry",
  "cell": [[4.757, 0.000, 0.000], [0.000, 4.757, 0.000], [0.000, 0.000, 2.949]],
  "species": ["Cu", "Cu", "Os", "Sr"],
  "fractional_positions": [[0.000, 0.000, 0.000], [0.500, 0.500, 0.000], [0.500, 0.000, 0.500], [0.000, 0.500, 0.500]],
  "magmom_total_mub_per_fu": 0.0,
  "e_form_ev_per_atom": 0.610,
  "rho_g_cm3": 10.08,
  "spacegroup": "P4/mmm (123)",
  "dos_ef_per_ev_atom": 0.332
}


[3]
{
  "formula": "SrCu2Os",
  "functional": "PBE",
  "state": "optimized geometry",
  "cell": [[9.732, 0.015, 0.009], [9.313, 2.825, 0.009], [9.313, 1.389, 2.460]],
  "species": ["Cu", "Cu", "Os", "Sr"],
  "fractional_positions": [[0.011, 0.011, 0.011], [0.489, 0.489, 0.489], [0.750, 0.750, 0.750], [0.250, 0.250, 0.250]],
  "magmom_total_mub_per_fu": 0.0,
  "e_form_ev_per_atom": 0.893,
  "rho_g_cm3": 10.03,
  "spacegroup": "R-3m (166)",
  "dos_ef_per_ev_atom": 0.614
}


[4]
{
  "formula": "SrCu2Os",
  "functional": "PBE",
  "state": "optimized geometry",
  "cell": [[-3.180, 0.854, -0.163], [-0.798, -3.113, -0.736], [-0.691, -1.347, 6.447]],
  "species": ["Cu", "Cu", "Os", "Sr"],
  "fractional_positions": [[0.000, 0.000, 0.071], [0.000, 0.000, 0.429], [0.500, 0.500, 0.250], [0.500, 0.500, 0.750]],
  "magmom_total_mub_per_fu": 0.0,
  "e_form_ev_per_atom": 0.519,
  "rho_g_cm3": 9.34,
  "spacegroup": "P4/mmm (123)",
  "dos_ef_per_ev_atom": 1.103
}